## Tc2GeRh (PBE-GGA)

Data for a relaxed structure of Tc2GeRh.

The density of states at the Fermi level comes out at 5.476 states/eV per cell. The total moment comes out at 0.00 μB per cell. Its energy of formation is 478 meV per atom.

a b c (Å): 2.776 2.776 9.317
angles (deg): 81.43 81.43 60.00
Atoms (fractional coordinates):
Ge  0.500  0.500  0.500
Tc  0.091  0.091  0.728
Tc  0.909  0.909  0.272
Rh  0.000  0.000  0.000